[1]
Entry from Alexandria: a relaxed SmPu3Th2P6 crystal (PBE).

Computed properties:
* energy of formation from the pure elements: -131.23 kJ/mol of atoms
* DOS at the Fermi energy: 33.4 states/eV/f.u.
* total magnetic moment: 5.245 μB per formula unit

Unit cell a=4.087 b=8.104 c=9.095 alpha=102.49 beta=102.99 gamma=90.00
Element x y z (fractional)
P1 0.002 0.744 0.004
Pu1 0.500 0.500 0.000
Th1 0.835 0.669 0.669
P2 0.669 0.076 0.337
P3 0.665 0.588 0.331
P4 0.335 0.412 0.669
P5 0.998 0.256 0.996
Sm1 0.500 0.000 0.000
Pu2 0.833 0.167 0.666
P6 0.331 0.924 0.663
Pu3 0.167 0.833 0.334
Th2 0.165 0.331 0.331

[2]
Entry from Alexandria: a relaxed SmPu2ThP4 crystal (PBE).

Computed properties:
* energy of formation from the pure elements: -132.53 kJ/mol of atoms
* DOS at the Fermi energy: 18.6 states/eV/f.u.
* total magnetic moment: 10.231 μB per formula unit

Unit cell a=4.082 b=7.061 c=7.000 alpha=109.65 beta=90.00 gamma=90.00
Element x y z (fractional)
P1 0.000 0.246 0.740
Th1 0.500 0.500 0.000
Pu1 0.000 0.500 0.500
P2 0.500 0.254 0.261
P3 0.500 0.746 0.739
Sm1 0.000 0.000 0.000
Pu2 0.500 0.000 0.500
P4 0.000 0.754 0.260

[3]
Entry from Alexandria: a relaxed SmPuTh2P4 crystal (PBE).

Computed properties:
* energy of formation from the pure elements: -142.43 kJ/mol of atoms
* DOS at the Fermi energy: 12.1 states/eV/f.u.
* total magnetic moment: 5.558 μB per formula unit

Unit cell a=4.122 b=7.121 c=7.088 alpha=109.68 beta=90.00 gamma=90.00
Element x y z (fractional)
P1 0.000 0.248 0.752
P2 0.500 0.245 0.244
Th1 0.000 0.500 0.500
P3 0.500 0.755 0.756
Sm1 0.500 0.500 0.000
P4 0.000 0.752 0.248
Pu1 0.000 0.000 0.000
Th2 0.500 0.000 0.500

[4]
Entry from Alexandria: a relaxed SmPuU2P4 crystal (PBE).

Computed properties:
* energy of formation from the pure elements: -110.31 kJ/mol of atoms
* DOS at the Fermi energy: 20.0 states/eV/f.u.
* total magnetic moment: 5.078 μB per formula unit

Unit cell a=3.962 b=6.927 c=6.916 alpha=109.13 beta=90.00 gamma=90.00
Element x y z (fractional)
U1 0.000 0.500 0.500
P1 0.000 0.243 0.738
P2 0.000 0.757 0.262
U2 0.500 0.000 0.500
P3 0.500 0.751 0.741
P4 0.500 0.249 0.259
Sm1 0.500 0.500 0.000
Pu1 0.000 0.000 0.000

[5]
Entry from Alexandria: a relaxed Sm3Pu2UP6 crystal (PBE).

Computed properties:
* energy of formation from the pure elements: -127.28 kJ/mol of atoms
* DOS at the Fermi energy: 26.7 states/eV/f.u.
* total magnetic moment: 8.991 μB per formula unit

Unit cell a=6.991 b=6.991 c=6.973 alpha=99.61 beta=99.61 gamma=120.00
Element x y z (fractional)
Sm1 0.168 0.832 0.500
P1 0.594 0.921 0.763
Pu1 0.334 0.666 0.000
U1 0.000 0.000 0.000
P2 0.248 0.248 0.764
P3 0.406 0.079 0.237
Pu2 0.666 0.334 0.000
Sm2 0.500 0.500 0.500
Sm3 0.832 0.168 0.500
P4 0.921 0.594 0.763
P5 0.752 0.752 0.236
P6 0.079 0.406 0.237

[6]
Entry from Alexandria: a relaxed SmPu3U4P8 crystal (PBE).

Computed properties:
* energy of formation from the pure elements: -106.27 kJ/mol of atoms
* DOS at the Fermi energy: 51.5 states/eV/f.u.
* total magnetic moment: 8.532 μB per formula unit

Unit cell a=7.895 b=7.994 c=7.897 alpha=119.61 beta=119.99 gamma=90.00
Element x y z (fractional)
P1 0.750 0.758 0.004
U1 0.000 0.000 0.000
Pu1 0.500 0.500 0.500
P2 0.751 0.754 0.503
Sm1 0.000 0.500 0.000
P3 0.254 0.758 0.004
P4 0.254 0.758 0.509
Pu2 0.500 0.500 0.000
Pu3 0.000 0.500 0.500
U2 0.500 0.000 0.500
P5 0.746 0.242 0.996
U3 0.000 0.000 0.500
P6 0.249 0.246 0.497
U4 0.500 0.000 0.000
P7 0.746 0.242 0.491
P8 0.250 0.242 0.996

Theoretical density / Mg/m³: 8.89, 8.69, 8.33, 9.21, 8.14, 9.75